The following is a PBE-GGA calculation of an optimized crystal structure of Cd2BiSb, from Alexandria.

Cell: 4.9586 12.4824 8.5819 Å, 90.00 90.00 90.00°
Space group Ima2 (No. 46)
Symmetry-distinct sites (fractional):
Cd (0.2500, 0.0808, 0.0000) [4 per cell]
Cd (0.2500, 0.6436, 0.9442) [4 per cell]
Bi (0.2500, 0.0850, 0.6487) [4 per cell]
Sb (0.2500, 0.6602, 0.6203) [4 per cell]

Computed properties:
Theoretical density in g/cm³: 6.95
Energy relative to the elements, uncorrected in eV/atom: 0.03
V in Å³/cell: 531
Final energy in Ry/atom: -0.1782

The following is a PBE-GGA calculation of an optimized crystal structure of Y2AgPb, from Alexandria.

Cell: 6.2399 4.6718 7.9142 Å, 90.00 109.58 90.00°
Space group P2_1/m (No. 11)
Symmetry-distinct sites (fractional):
Y (0.1980, 0.2500, 0.4351) [2 per cell]
Y (0.2129, 0.2500, 0.9151) [2 per cell]
Ag (0.3366, 0.7500, 0.7052) [2 per cell]
Pb (0.3269, 0.7500, 0.2089) [2 per cell]

Computed properties:
Formation enthalpy at 0 K in eV/atom: -0.4269
Theoretical density in g/cm³: 7.53
V in Å³/cell: 217
Final energy in Ry/atom: -0.3895

The following is a PBE-GGA calculation of an optimized crystal structure of Rb2Tl5Pt, from Alexandria.

Cell: 6.8336 6.8336 12.9962 Å, 90.00 90.00 90.00°
Space group I4mm (No. 107)
Symmetry-distinct sites (fractional):
Rb (0.0000, 0.5000, 0.0000) [4 per cell]
Tl (0.0000, 0.0000, 0.0852) [2 per cell]
Tl (0.2444, 0.2444, 0.2649) [8 per cell]
Pt (0.0000, 0.0000, 0.8706) [2 per cell]

Computed properties:
Formation enthalpy at 0 K in eV/atom: -0.0452
Theoretical density in g/cm³: 7.60
V in Å³/cell: 607
Final energy in Ry/atom: -0.1853